V2WF | GGA+U | optimized geometry

Calculated values
V: 16.8 A^3/atom
total energy: -79.26 eV/cell
crystal system: cubic
polymorph energy (0 for the lowest one): 552.3 meV per atom

Cell lengths 6.454, 6.454, 6.454 Å; angles 90.00, 90.00, 90.00 degrees
Space group Fm-3m (No. 225)
Asymmetric unit:
V 0.250 0.250 0.250
W 0.000 0.000 0.000
F 0.000 0.000 0.500